(1)
10
Lattice="4.2186 0.0000 0.0000 0.0000 4.2186 0.0000 0.0000 0.0000 11.6927" Properties=species:S:1:pos:R:3 comment="La2TlGa3Pt4 GGA-PBE optimized geometry" crystal_system=tetragonal e_form_ev_per_atom=-0.86 pbc="T T T"
Ga 0.0000 0.0000 5.8463
Ga 0.0000 2.1093 1.4412
Ga 2.1093 0.0000 10.2515
Pt 2.1093 2.1093 0.0000
Pt 0.0000 0.0000 0.0000
Pt 0.0000 2.1093 3.9360
Pt 2.1093 0.0000 7.7567
La 2.1093 0.0000 2.8419
La 0.0000 2.1093 8.8507
Tl 2.1093 2.1093 5.8463

(2)
4
Lattice="-3.1287 3.0333 -0.9291 -0.5669 -4.3663 0.6833 -1.0832 1.4547 8.3973" Properties=species:S:1:pos:R:3 comment="HgAuBr2 GGA-PBE optimized geometry" crystal_system=orthorhombic formation_energy_uncorrected_ev_per_atom=-0.05 pbc="T T T"
Br -1.0334 1.3878 8.0111
Br -0.5914 0.7943 4.5848
Hg -2.1186 -0.3028 1.9764
Au -2.6602 0.4245 6.1751

(3)
4
Lattice="-3.8410 -2.2596 -0.4905 -0.7098 -3.7513 2.3502 -3.0206 -0.0320 3.3127" Properties=species:S:1:pos:R:3 comment="ZrAlCuTc GGA-PBE optimized geometry" crystal_system=cubic e_form_ev_per_atom=-0.24 pbc="T T T"
Al 0.0000 0.0000 0.0000
Zr -3.7857 -3.0214 2.5862
Cu -1.8928 -1.5107 1.2931
Tc -5.6785 -4.5321 3.8794

(4)
4
Lattice="6.7099 -0.0022 0.0014 5.2456 4.1842 -0.0014 -5.8558 -2.4396 2.1866" Properties=species:S:1:pos:R:3 comment="CrAgP2 GGA-PBE optimized geometry" crystal_system=orthorhombic e_form_ev_per_atom=0.03 pbc="T T T"
Ag 6.7212 2.3510 0.0000
P 11.0856 3.8777 0.0000
P 2.3796 1.8114 1.0926
Cr 3.8465 -0.0248 1.0940

(5)
10
Lattice="6.3062 0.0000 0.0000 3.1531 5.4613 0.0000 3.1531 1.8204 5.1490" Properties=species:S:1:pos:R:3 comment="Ti7VRh2 GGA-PBE optimized geometry" crystal_system=cubic e_form_ev_per_atom=0.71 pbc="T T T"
Ti 6.3062 3.6409 2.5745
Ti 7.8966 4.5591 1.2759
Ti 4.7157 4.5591 1.2759
Ti 4.7157 2.7226 3.8731
Ti 6.3062 5.4774 3.8731
Ti 7.8966 2.7226 3.8731
Ti 6.3062 1.8044 1.2759
V 0.0000 0.0000 0.0000
Rh 9.4592 5.4613 3.8617
Rh 3.1531 1.8204 1.2872

(6)
4
Lattice="-2.3642 -0.8345 1.3348 1.6134 -3.6390 0.5827 1.9544 1.5789 4.4489" Properties=species:S:1:pos:R:3 comment="PRuW2 GGA-PBE optimized geometry" crystal_system=orthorhombic e_form_ev_per_atom=0.13 pbc="T T T"
Ru 0.6018 -1.4473 3.1832
W 0.4782 0.3863 1.0886
W 1.4762 1.1926 3.3603
P -0.3754 -2.2368 0.9587